Below is ScAl2Pd at its PBEsol-relaxed geometry, with properties calculated at the SCAN level. Values from VASP.

Properties
calculated formation energy	-0.644	eV/atom
space-group type	Fm-3m
total moment	0.000	μB per atom

```
&SYSTEM
  ibrav = 0, nat = 4, ntyp = 3
/
ATOMIC_SPECIES
Sc 44.96 Sc.upf
Al 26.98 Al.upf
Pd 106.42 Pd.upf
ATOMIC_POSITIONS crystal
Sc 0.0000 0.0000 0.0000
Al 0.2500 0.2500 0.2500
Al 0.7500 0.7500 0.7500
Pd 0.5000 0.5000 0.5000
CELL_PARAMETERS angstrom
4.4886 0.0000 0.0000
2.2443 3.8873 0.0000
2.2443 1.2958 3.6649
```